A relaxed TlNiCl crystal. Source: the Alexandria database, functional GGA-PBE.

formation energy (no corrections): 530 meV per atom
SG: F-43m (216)
energy above the lowest structure with this stoichiometry: 597 meV per atom
calculated volume: 26.12 Å³/atom

Lattice parameters (Å, degrees): 4.8030 4.8030 4.8030 60.00 60.00 60.00
Atoms (fractional coordinates):
Tl  0.0000  0.0000  0.0000
Ni  0.7500  0.7500  0.7500
Cl  0.2500  0.2500  0.2500

A relaxed BaZn2Rh crystal. Source: the Alexandria database, functional GGA-PBE.

energy of formation: -89 meV/atom
SG: P2/m (10)
calculated volume: 23.13 Å³/atom

Lattice parameters (Å, degrees): 3.5214 4.3666 6.2425 90.00 105.41 90.00
Atoms (fractional coordinates):
Ba  0.0000  0.0000  0.0000
Zn  0.3176  0.5000  0.6634
Zn  0.6824  0.5000  0.3366
Rh  0.5000  0.0000  0.5000

A relaxed Sr5Nd3Se8 crystal. Source: the Alexandria database, functional GGA-PBE.

formation energy (no corrections): -1951 meV per atom
SG: R-3m (166)
calculated volume: 29.12 Å³/atom

Lattice parameters (Å, degrees): 8.7394 8.7394 8.7394 59.43 59.43 59.43
Atoms (fractional coordinates):
Sr  0.0000  0.0000  0.0000
Sr  0.0000  0.5000  0.5000
Sr  0.5000  0.0000  0.5000
Sr  0.5000  0.5000  0.0000
Sr  0.5000  0.5000  0.5000
Nd  0.0000  0.0000  0.5000
Nd  0.0000  0.5000  0.0000
Nd  0.5000  0.0000  0.0000
Se  0.2424  0.7501  0.7501
Se  0.2470  0.2470  0.2470
Se  0.2499  0.2499  0.7576
Se  0.2499  0.7576  0.2499
Se  0.7501  0.2424  0.7501
Se  0.7501  0.7501  0.2424
Se  0.7530  0.7530  0.7530
Se  0.7576  0.2499  0.2499

A relaxed SrLaZnAu crystal. Source: the Alexandria database, functional GGA-PBE.

energy of formation: -482 meV/atom
SG: F-43m (216)
energy above the lowest structure with this stoichiometry: 30 meV per atom
calculated volume: 27.61 Å³/atom

Lattice parameters (Å, degrees): 5.3852 5.3852 5.3852 60.00 60.00 60.00
Atoms (fractional coordinates):
Sr  0.0000  0.0000  0.0000
La  0.5000  0.5000  0.5000
Zn  0.7500  0.7500  0.7500
Au  0.2500  0.2500  0.2500

A relaxed MgTiV4 crystal. Source: the Alexandria database, functional GGA-PBE.

energy of formation: 218 meV/atom
SG: F-43m (216)
calculated volume: 15.49 Å³/atom

Lattice parameters (Å, degrees): 5.0848 5.0848 5.0848 60.00 60.00 60.00
Atoms (fractional coordinates):
Mg  0.0000  0.0000  0.0000
Ti  0.2500  0.2500  0.2500
V  0.1350  0.6217  0.6217
V  0.6217  0.1350  0.6217
V  0.6217  0.6217  0.1350
V  0.6217  0.6217  0.6217

A relaxed Sr2TaTc crystal. Source: the Alexandria database, functional GGA-PBE.

energy of formation: 353 meV/atom
SG: Cm (8)
energy above the lowest structure with this stoichiometry: 24 meV per atom
calculated volume: 35.20 Å³/atom

Lattice parameters (Å, degrees): 4.2471 4.2471 9.3608 103.57 103.57 60.02
Atoms (fractional coordinates):
Sr  0.0000  0.0000  0.0000
Sr  0.1884  0.1884  0.5480
Ta  0.7608  0.7608  0.2740
Tc  0.4274  0.4274  0.2739

A relaxed ZrGe2Pd crystal. Source: the Alexandria database, functional GGA-PBE.

energy of formation: -547 meV/atom
SG: P4/mmm (123)
calculated volume: 17.23 Å³/atom

Lattice parameters (Å, degrees): 4.2699 4.2699 3.7793 90.00 90.00 90.00
Atoms (fractional coordinates):
Zr  0.0000  0.0000  0.0000
Ge  0.0000  0.5000  0.5000
Ge  0.5000  0.0000  0.5000
Pd  0.5000  0.5000  0.0000

A relaxed BaNa6Cd6 crystal. Source: the Alexandria database, functional GGA-PBE.

energy of formation: -131 meV/atom
SG: Immm (71)
calculated volume: 28.44 Å³/atom

Lattice parameters (Å, degrees): 8.3703 8.3703 8.3703 137.41 98.29 96.87
Atoms (fractional coordinates):
Ba  0.0000  0.0000  0.0000
Na  0.2037  0.5000  0.7037
Na  0.3422  0.3422  0.0000
Na  0.3537  0.0000  0.3537
Na  0.6463  0.0000  0.6463
Na  0.6578  0.6578  0.0000
Na  0.7963  0.5000  0.2963
Cd  0.0000  0.0000  0.5000
Cd  0.0000  0.5000  0.0000
Cd  0.2185  0.7185  0.5000
Cd  0.5000  0.0000  0.0000
Cd  0.5000  0.5000  0.5000
Cd  0.7815  0.2815  0.5000

A relaxed Cd3SbH4 crystal. Source: the Alexandria database, functional GGA-PBE.

final energy: -2.232 eV/atom
SG: P-1 (2)
calculated volume: 17.01 Å³/atom

Lattice parameters (Å, degrees): 4.9373 5.0422 6.0363 111.36 101.67 91.98
Atoms (fractional coordinates):
Cd  0.0000  0.0000  0.0000
Cd  0.4645  0.4461  0.7328
Cd  0.5355  0.5539  0.2672
Sb  0.0000  0.0000  0.5000
H  0.2580  0.6868  0.4390
H  0.3457  0.7391  0.9693
H  0.6543  0.2609  0.0307
H  0.7420  0.3132  0.5610

A relaxed LaGa2Au2 crystal. Source: the Alexandria database, functional GGA-PBE.

energy of formation: -661 meV/atom
SG: I4/mmm (139)
calculated volume: 21.77 Å³/atom

Lattice parameters (Å, degrees): 6.4280 6.4280 6.4280 139.98 139.98 57.88
Atoms (fractional coordinates):
La  0.0000  0.0000  0.0000
Ga  0.2500  0.7500  0.5000
Ga  0.7500  0.2500  0.5000
Au  0.3782  0.3782  0.0000
Au  0.6218  0.6218  0.0000

A relaxed Li5PbO5 crystal. Source: the Alexandria database, functional GGA-PBE.

formation energy (no corrections): -1462 meV per atom
SG: C2/m (12)
calculated volume: 11.17 Å³/atom

Lattice parameters (Å, degrees): 5.4260 5.4260 6.0830 108.49 108.49 46.97
Atoms (fractional coordinates):
Li  0.0000  0.0000  0.0000
Li  0.2939  0.2939  0.1662
Li  0.3150  0.3150  0.6364
Li  0.6850  0.6850  0.3636
Li  0.7061  0.7061  0.8338
Pb  0.0000  0.0000  0.5000
O  0.1497  0.1497  0.3163
O  0.1736  0.1736  0.8335
O  0.5000  0.5000  0.5000
O  0.8264  0.8264  0.1665
O  0.8503  0.8503  0.6837

A relaxed InNi crystal. Source: the Alexandria database, functional GGA-PBE.

energy of formation: 212 meV/atom
SG: P-3m1 (164)
calculated volume: 19.03 Å³/atom

Lattice parameters (Å, degrees): 3.6141 3.6141 6.7292 90.00 90.00 120.00
Atoms (fractional coordinates):
In  0.3333  0.6667  0.1791
In  0.6667  0.3333  0.8209
Ni  0.3333  0.6667  0.5860
Ni  0.6667  0.3333  0.4140

no.,Fermi-level density of states (states/eV per cell),mass density (g cm⁻³),total moment (μB/f.u.)
1,7.200,6.33,0.56
2,2.623,6.66,0.00
3,4.883,5.35,0.00
4,4.353,7.35,0.00
5,7.429,4.93,0.00
6,2.445,5.36,0.00
7,1.158,8.26,0.00
8,5.796,4.27,0.00
9,1.543,5.65,0.00
10,2.603,10.26,0.00
11,7.098,4.35,1.05
12,3.121,7.57,0.00